No. 1
Computed, not measured: crystalline Zn2GaCo2 at its relaxed geometry at the PBE level of DFT.

## Properties
SG = No. 127
ΔE_f = 102 meV/atom

a b c (Å): 6.7847 6.7847 2.8095
angles (deg): 90.00 90.00 90.00
Element x y z (fractional)
Ga 0.5000 0.5000 0.0000
Ga 0.0000 0.0000 0.0000
Co 0.1701 0.6701 0.5000
Co 0.8299 0.3299 0.5000
Co 0.6701 0.8299 0.5000
Co 0.3299 0.1701 0.5000
Zn 0.6284 0.1284 0.0000
Zn 0.8716 0.6284 0.0000
Zn 0.1284 0.3716 0.0000
Zn 0.3716 0.8716 0.0000

No. 2
Computed, not measured: crystalline ZnGa2Co at its relaxed geometry at the PBE level of DFT.

## Properties
SG = No. 122
ΔE_f = 177 meV/atom

a b c (Å): 7.5863 7.5863 5.8879
angles (deg): 49.89 49.89 90.00
Element x y z (fractional)
Co 0.2500 0.7500 0.5000
Co 0.5000 0.5000 0.0000
Ga 0.5349 0.1250 0.2500
Ga 0.3750 0.4651 0.7500
Ga 0.2151 0.6250 0.2500
Ga 0.8750 0.7849 0.7500
Zn 0.0000 0.0000 0.0000
Zn 0.7500 0.2500 0.5000

No. 3
Computed, not measured: crystalline ZnGa6Co at its relaxed geometry at the PBE level of DFT.

## Properties
SG = No. 12
ΔE_f = 4 meV/atom

a b c (Å): 5.3685 5.3685 5.3758
angles (deg): 100.48 100.48 102.48
Element x y z (fractional)
Ga 0.2038 0.6186 0.2028
Ga 0.3814 0.7962 0.7972
Ga 0.8002 0.8002 0.3731
Ga 0.6186 0.2038 0.2028
Ga 0.7962 0.3814 0.7972
Ga 0.1998 0.1998 0.6269
Zn 0.0000 0.0000 0.0000
Co 0.5000 0.5000 0.5000

No. 4
Computed, not measured: crystalline ZnGa3Co at its relaxed geometry at the PBE level of DFT.

## Properties
SG = No. 221
ΔE_f = 836 meV/atom

a b c (Å): 4.7350 4.7350 4.7350
angles (deg): 90.00 90.00 90.00
Element x y z (fractional)
Ga 0.0000 0.5000 0.0000
Ga 0.0000 0.0000 0.5000
Ga 0.5000 0.0000 0.0000
Co 0.5000 0.5000 0.5000
Zn 0.0000 0.0000 0.0000